Record 1
Compound: NaSbTe2Au
Source: the Alexandria database
Functional: GGA-PBE
Structure: relaxed

abc: 5.4196 5.4196 5.3852
angles: 90.00 90.00 90.00
Last column: nearest neighbours and their distance in Å.
Space group P4/mmm (No. 123)
Symmetry-distinct sites (fractional):
Na 0.0000 0.0000 0.0000 (multiplicity 1)  2 Sb 2.69, 4 Te 2.71
Sb 0.0000 0.0000 0.5000 (multiplicity 1)  2 Na 2.69
Te 0.0000 0.5000 0.0000 (multiplicity 2)  2 Na 2.71
Au 0.5000 0.5000 0.5000 (multiplicity 1)  8 Te 3.82, 4 Sb 3.83

The formation energy without anion corrections is 4.2 eV/f.u. The energy above the lowest structure with this stoichiometry is 1064 meV per atom.

***

Record 2
Compound: NaSbTe2Au
Source: the Alexandria database
Functional: GGA-PBE
Structure: relaxed

abc: 5.7063 5.7063 5.2497
angles: 90.00 90.00 90.00
Last column: nearest neighbours and their distance in Å.
Space group P4/mmm (No. 123)
Symmetry-distinct sites (fractional):
Na 0.0000 0.0000 0.0000 (multiplicity 1)  8 Te 3.88, 4 Sb 4.03
Sb 0.5000 0.5000 0.0000 (multiplicity 1)  2 Au 2.62
Te 0.0000 0.5000 0.5000 (multiplicity 2)  2 Au 2.85
Au 0.5000 0.5000 0.5000 (multiplicity 1)  2 Sb 2.62, 4 Te 2.85

The formation energy without anion corrections is 0.6 eV/f.u. The energy above the lowest structure with this stoichiometry is 356 meV per atom.

***

Record 3
Compound: NaTlSbAu
Source: the Alexandria database
Functional: GGA-PBE
Structure: relaxed

abc: 7.3005 7.3005 7.3005
angles: 90.00 90.00 90.00
Last column: nearest neighbours and their distance in Å.
Space group F-43m (No. 216)
Symmetry-distinct sites (fractional):
Na 0.0000 0.0000 0.0000 (multiplicity 4)  4 Tl 3.16, 4 Sb 3.16
Tl 0.2500 0.2500 0.7500 (multiplicity 4)  4 Au 3.16, 4 Na 3.16
Sb 0.2500 0.2500 0.2500 (multiplicity 4)  4 Na 3.16, 4 Au 3.16
Au 0.0000 0.0000 0.5000 (multiplicity 4)  4 Sb 3.16, 4 Tl 3.16

The formation energy without anion corrections is -0.5 eV/f.u. The energy above the lowest structure with this stoichiometry is 11 meV per atom.

***

Record 4
Compound: NaTl2SbAu2
Source: the Alexandria database
Functional: GGA-PBE
Structure: relaxed

abc: 4.7689 8.3277 7.8546
angles: 90.00 90.00 90.00
Last column: nearest neighbours and their distance in Å.
Space group Pmc2_1 (No. 26)
Symmetry-distinct sites (fractional):
Na 0.0000 0.0601 0.0000 (multiplicity 2)  5 Au 3.02-3.38, 2 Sb 3.29
Tl 0.0000 0.3434 0.3289 (multiplicity 2)  4 Au 2.94-3.14
Tl 0.5000 0.4071 0.0100 (multiplicity 2)  3 Au 3.26-3.34, 1 Sb 3.43, 4 Tl 3.47-3.50
Sb 0.5000 0.1725 0.6516 (multiplicity 2)  4 Au 2.73-2.81
Au 0.0000 0.3165 0.7276 (multiplicity 2)  2 Sb 2.74, 1 Tl 2.94, 1 Na 3.02
Au 0.5000 0.1253 0.2977 (multiplicity 2)  2 Sb 2.73-2.81, 2 Tl 3.01

The formation energy without anion corrections is -1.2 eV/f.u.

***

Record 5
Compound: NaTlSbAu
Source: the Alexandria database
Functional: GGA-PBE
Structure: relaxed

abc: 8.0564 4.6489 8.0055
angles: 90.00 109.37 90.00
Last column: nearest neighbours and their distance in Å.
Space group Cm (No. 8)
Symmetry-distinct sites (fractional):
Na 0.0000 0.0000 0.0000 (multiplicity 2)  3 Au 3.04, 1 Tl 3.26, 3 Sb 3.33
Tl 0.1437 0.0000 0.4315 (multiplicity 2)  1 Au 2.88
Sb 0.0804 0.5000 0.7388 (multiplicity 2)  3 Au 2.74
Au 0.2715 0.0000 0.8125 (multiplicity 2)  3 Sb 2.74, 1 Tl 2.88, 3 Na 3.04

The formation energy without anion corrections is -0.5 eV/f.u. The energy above the lowest structure with this stoichiometry is 0 meV per atom.

***

Record 6
Compound: NaUSbAu
Source: the Alexandria database
Functional: GGA-PBE
Structure: relaxed

abc: 7.3109 7.3109 7.3109
angles: 90.00 90.00 90.00
Last column: nearest neighbours and their distance in Å.
Space group F-43m (No. 216)
Symmetry-distinct sites (fractional):
Na 0.0000 0.0000 0.0000 (multiplicity 4)  4 Sb 3.17, 4 Au 3.17
U 0.0000 0.0000 0.5000 (multiplicity 4)  4 Sb 3.17, 4 Au 3.17
Sb 0.2500 0.2500 0.7500 (multiplicity 4)  4 Na 3.17, 4 U 3.17
Au 0.2500 0.2500 0.2500 (multiplicity 4)  4 Na 3.17, 4 U 3.17

The formation energy without anion corrections is -0.8 eV/f.u.

***

Record 7
Compound: Na2ScAu2
Source: the Alexandria database
Functional: GGA-PBE
Structure: relaxed

abc: 7.1764 7.1764 4.5888
angles: 90.00 90.00 90.00
Last column: nearest neighbours and their distance in Å.
Space group P4/mbm (No. 127)
Symmetry-distinct sites (fractional):
Na 0.1633 0.3367 0.0000 (multiplicity 4)  6 Au 3.06-3.16, 1 Na 3.31
Sc 0.0000 0.0000 0.5000 (multiplicity 2)  4 Au 2.78
Au 0.1375 0.6375 0.5000 (multiplicity 4)  2 Sc 2.78, 1 Au 2.79, 2 Na 3.06

The energy above the lowest structure with this stoichiometry is 0 meV per atom. Its formation energy is -0.27 eV/atom.

***

Record 8
Compound: Na2ScAu
Source: the Alexandria database
Functional: GGA-PBE
Structure: relaxed

abc: 7.1012 7.1012 7.1012
angles: 90.00 90.00 90.00
Last column: nearest neighbours and their distance in Å.
Space group Fm-3m (No. 225)
Symmetry-distinct sites (fractional):
Na 0.2500 0.2500 0.2500 (multiplicity 8)  4 Sc 3.07, 4 Au 3.07
Sc 0.0000 0.0000 0.0000 (multiplicity 4)  8 Na 3.07
Au 0.0000 0.0000 0.5000 (multiplicity 4)  8 Na 3.07

The energy above the lowest structure with this stoichiometry is 50 meV per atom. Its formation energy is 0.19 eV/atom.

***

Calculated total magnetic moment, 0.00; 0.00; 0.00; 0.00; 0.00; 12.04; 0.00; 4.06 Bohr magnetons per cell (same order as the records).
Calculated calculated density, 6.3; 5.8; 9.3; 10.1; 6.4; 9.9; 6.8; 5.3 g/cm³ (same order as the records).